(1)
# TlCr2Cl

TlCr2Cl after structural relaxation (GGA-PBE, Alexandria via LeMat-Bulk).

a b c (Å): 8.295 8.295 8.295
angles (deg): 23.85 23.85 23.85
Each line ends with the local moment (μB).
Fractional coordinates of all 4 atoms:
1 Cr 0.505 0.505 0.505  3.88
2 Tl 0.750 0.750 0.750  -0.07
3 Cr 0.995 0.995 0.995  3.88
4 Cl 0.250 0.250 0.250  0.02

Its crystal system is trigonal. The value obtained for the uncorrected formation energy is 0.340 eV per atom. The raw total energy is -5.525 eV per atom. The energy above the most stable polymorph in this dataset comes out at 0.208 eV/atom.



(2)
# Ca2AgPd2

Ca2AgPd2 after structural relaxation (GGA-PBE, Alexandria via LeMat-Bulk).

a b c (Å): 5.617 5.617 5.617
angles (deg): 132.86 116.71 82.55
Fractional coordinates of all 5 atoms:
1 Ca 0.297 0.797 0.500
2 Pd 0.728 0.500 0.228
3 Ag 0.000 0.000 0.000
4 Ca 0.703 0.203 0.500
5 Pd 0.272 0.500 0.772

Its crystal system is orthorhombic. The raw total energy is -4.052 eV per atom. The energy relative to the elements is -0.60 eV/atom. The energy above the most stable polymorph in this dataset comes out at 0.000 eV/atom.



(3)
# PmPr5NdDy2

PmPr5NdDy2 after structural relaxation (GGA-PBE, Alexandria via LeMat-Bulk).

a b c (Å): 5.766 10.742 10.727
angles (deg): 90.00 90.00 105.57
Fractional coordinates of all 18 atoms:
1 Dy 0.113 0.226 0.734
2 Pr 0.704 0.408 0.205
3 Pr 0.478 0.955 0.742
4 Pr 0.522 0.045 0.242
5 Pr 0.390 0.780 0.026
6 Dy 0.117 0.235 0.322
7 Nd 0.588 0.176 0.951
8 Dy 0.887 0.774 0.234
9 Pr 0.720 0.440 0.812
10 Pr 0.610 0.220 0.526
11 Pr 0.016 0.032 0.022
12 Pr 0.296 0.592 0.705
13 Pm 0.800 0.601 0.511
14 Dy 0.883 0.765 0.822
15 Pm 0.200 0.399 0.011
16 Nd 0.412 0.824 0.451
17 Pr 0.280 0.560 0.312
18 Pr 0.984 0.968 0.522

Its crystal system is orthorhombic. The raw total energy is -4.594 eV per atom. The energy relative to the elements is 0.14 eV/atom.



(4)
# Ge3PtS

Ge3PtS after structural relaxation (GGA-PBE, Alexandria via LeMat-Bulk).

a b c (Å): 4.883 4.883 4.883
angles (deg): 90.00 90.00 90.00
Fractional coordinates of all 5 atoms:
1 Pt 0.000 0.000 0.000
2 S 0.500 0.500 0.500
3 Ge 0.000 0.500 0.000
4 Ge 0.500 0.000 0.000
5 Ge 0.000 0.000 0.500

Its crystal system is cubic. The value obtained for the uncorrected formation energy is 0.318 eV per atom. The raw total energy is -4.486 eV per atom. The energy above the most stable polymorph in this dataset comes out at 0.000 eV/atom.



(5)
# TlV2Ni

TlV2Ni after structural relaxation (GGA-PBE, Alexandria via LeMat-Bulk).

a b c (Å): 7.043 7.043 5.625
angles (deg): 51.24 51.24 90.00
Fractional coordinates of all 8 atoms:
1 V 0.580 0.125 0.250
2 V 0.170 0.625 0.250
3 Tl 0.750 0.250 0.500
4 Ni 0.250 0.750 0.500
5 V 0.875 0.830 0.750
6 V 0.375 0.420 0.750
7 Ni 0.500 0.500 0.000
8 Tl 0.000 0.000 0.000

Its crystal system is tetragonal. The raw total energy is -5.991 eV per atom. The energy relative to the elements is 0.61 eV/atom. The energy above the most stable polymorph in this dataset comes out at 0.116 eV/atom.



(6)
# RhWCl

RhWCl after structural relaxation (GGA-PBE, Alexandria via LeMat-Bulk).

a b c (Å): 4.227 4.227 4.227
angles (deg): 60.00 60.00 60.00
Fractional coordinates of all 3 atoms:
1 Cl 0.000 0.000 0.000
2 W 0.750 0.750 0.750
3 Rh 0.500 0.500 0.500

Its crystal system is cubic. The value obtained for the uncorrected formation energy is 0.725 eV per atom. The raw total energy is -6.659 eV per atom. The energy above the most stable polymorph in this dataset comes out at 0.609 eV/atom.



(7)
# B2PtRh4

B2PtRh4 after structural relaxation (GGA-PBE, Alexandria via LeMat-Bulk).

a b c (Å): 4.846 5.714 7.358
angles (deg): 112.72 109.19 90.06
Fractional coordinates of all 14 atoms:
1 Rh 0.554 0.170 0.872
2 Rh 0.932 0.580 0.628
3 Pt 0.348 0.734 0.473
4 Rh 0.747 0.626 0.252
5 Rh 0.932 0.049 0.627
6 B 0.421 0.375 0.250
7 Pt 0.125 0.015 0.027
8 B 0.422 0.875 0.250
9 Rh 0.745 0.125 0.248
10 B 0.742 0.376 0.751
11 Rh 0.555 0.701 0.873
12 Rh 0.134 0.518 0.032
13 Rh 0.352 0.232 0.468
14 B 0.241 0.374 0.749

Its crystal system is triclinic. The raw total energy is -7.163 eV per atom. The energy relative to the elements is -0.19 eV/atom.



(8)
# As2Pt13

As2Pt13 after structural relaxation (GGA-PBE, Alexandria via LeMat-Bulk).

a b c (Å): 5.494 7.174 7.455
angles (deg): 122.49 84.32 100.76
Fractional coordinates of all 15 atoms:
1 Pt 0.908 0.700 0.123
2 Pt 0.008 0.470 0.300
3 Pt 0.000 0.000 0.000
4 Pt 0.092 0.300 0.877
5 Pt 0.992 0.530 0.700
6 As 0.849 0.803 0.627
7 Pt 0.244 0.944 0.502
8 Pt 0.756 0.056 0.498
9 Pt 0.487 0.421 0.655
10 Pt 0.425 0.850 0.787
11 Pt 0.575 0.150 0.213
12 As 0.151 0.197 0.373
13 Pt 0.577 0.286 0.923
14 Pt 0.513 0.579 0.345
15 Pt 0.423 0.714 0.077

Its crystal system is triclinic. The raw total energy is -5.876 eV per atom. The energy relative to the elements is -0.02 eV/atom.



Which of these has the highest raw total energy?
Ca2AgPd2